Entry 1:
VASP calculation (PBE-GGA) on an optimized crystal structure of KYMg6.

Computed properties:
The calculation puts the formation energy at 0.11 eV/atom. The value obtained for the density of states at the Fermi level is 6.6 states/eV/cell. The calculation puts the relative energy among the computed polymorphs at 27 meV/atom. Its space group is P4/mmm.

a = 6.916 Å, b = 6.916 Å, c = 4.728 Å
α = 90.00°, β = 90.00°, γ = 90.02°
Sites, in units of the cell vectors:
1 Mg 0.892 0.643 0.000
2 Mg 0.625 0.875 0.500
3 Mg 0.357 0.643 0.000
4 Mg 0.893 0.107 0.000
5 Mg 0.357 0.108 0.000
6 Mg 0.125 0.375 0.500
7 K 0.625 0.375 0.500
8 Y 0.125 0.875 0.500


Entry 2:
VASP calculation (PBE-GGA) on an optimized crystal structure of LiFe2Ru.

Computed properties:
The calculation puts the formation energy at 0.21 eV/atom. The value obtained for the density of states at the Fermi level is 4.1 states/eV/cell. Its space group is Imm2.

a = 4.931 Å, b = 4.931 Å, c = 4.931 Å
α = 147.37°, β = 128.69°, γ = 62.14°
Site moments in Bohr magnetons follow the coordinates.
Sites, in units of the cell vectors:
1 Fe 0.763 0.263 0.500  2.37
2 Fe 0.994 0.994 0.000  2.38
3 Ru 0.238 0.738 0.500  0.29
4 Li 0.505 0.505 0.000  -0.05


Entry 3:
VASP calculation (PBE-GGA) on an optimized crystal structure of Mn2SiPbAu.

Computed properties:
The value obtained for the density of states at the Fermi level is 1.9 states/eV/cell. Its space group is P4/mmm. The calculation puts the formation energy from raw total energies at 0.334 eV per atom.

a = 4.647 Å, b = 4.777 Å, c = 4.647 Å
α = 90.00°, β = 90.00°, γ = 90.00°
Site moments in Bohr magnetons follow the coordinates.
Sites, in units of the cell vectors:
1 Pb 0.500 0.500 0.500  -0.10
2 Mn 0.000 0.000 0.500  3.53
3 Mn 0.500 0.000 0.000  3.51
4 Au 0.000 0.500 0.000  0.00
5 Si 0.000 0.000 0.000  -0.11


Entry 4:
VASP calculation (PBE-GGA) on an optimized crystal structure of Ho3V.

Computed properties:
The calculation puts the formation energy at 0.21 eV/atom. The value obtained for the density of states at the Fermi level is 4.3 states/eV/cell. Its space group is Immm.

a = 3.675 Å, b = 5.337 Å, c = 6.384 Å
α = 114.71°, β = 106.73°, γ = 90.00°
Site moments in Bohr magnetons follow the coordinates.
Sites, in units of the cell vectors:
1 Ho 0.500 0.417 0.000  0.20
2 Ho 0.713 0.129 0.425  0.11
3 Ho 0.287 0.704 0.575  0.11
4 V 0.000 0.917 0.000  2.39


| no. | M_tot (Bohr magnetons per cell) | density (Mg/m³) | DFT total energy (Ry per atom) |
| --- | --- | --- | --- |
| 1 | 0.0 | 2.01 | -0.149 |
| 2 | 5.0 | 7.30 | -0.501 |
| 3 | 7.0 | 8.73 | -0.427 |
| 4 | 3.3 | 8.40 | -0.405 |